UReTc: optimized geometry, GGA-PBE.

## Properties
**Formation energy**: -20.5 meV/atom
**DOS(E_F)**: 18.40 states/eV/cell

Unit cell a=5.346 b=5.346 c=8.216 alpha=90.00 beta=90.00 gamma=113.75
Last column: magnetic moment on the atom in μB.
Positions (direct):
U  0.659  0.341  0.836  0.43
Re  0.342  0.165  0.500  -0.04
Re  0.002  0.998  0.751  -0.01
Re  0.835  0.658  0.500  -0.04
Tc  0.658  0.837  0.000  -0.05
Tc  0.163  0.342  0.000  -0.05
U  0.340  0.660  0.666  0.25
Tc  0.826  0.174  0.500  -0.02
Tc  0.175  0.825  0.000  -0.01
Re  0.002  0.998  0.249  -0.01
U  0.340  0.660  0.334  0.25
U  0.659  0.341  0.164  0.43